Entry 1:
The following is a DFT calculation (PBE) of crystalline K3NaS2 at its relaxed geometry.

SG: Ibam

Geometry as POSCAR:
```
K3NaS2
1.0
6.879 0.000 -2.856
-1.059 5.969 -2.552
-0.300 0.165 8.989
K Na S
6 2 4
direct
0.368 0.686 0.373
0.632 0.314 0.627
0.995 0.814 0.627
0.005 0.186 0.373
0.500 0.750 0.000
0.500 0.250 0.000
0.000 0.250 0.000
0.000 0.750 0.000
0.330 0.112 0.223
0.670 0.888 0.777
0.106 0.388 0.777
0.894 0.612 0.223
```



Entry 2:
The following is a DFT calculation (PBE) of crystalline KNa3S2 at its relaxed geometry.

SG: C2/m

Geometry as POSCAR:
```
KNa3S2
1.0
-3.823 0.027 2.221
1.924 -8.421 -0.987
4.350 5.420 7.423
K Na S
2 6 4
direct
0.887 0.774 0.900
0.113 0.226 0.100
0.332 0.665 0.562
0.992 0.983 0.650
0.649 0.298 0.749
0.351 0.702 0.251
0.008 0.017 0.350
0.668 0.335 0.438
0.514 0.027 0.817
0.486 0.973 0.183
0.813 0.626 0.369
0.187 0.374 0.631
```



Entry 3:
The following is a DFT calculation (PBE) of crystalline K2NaS2 at its relaxed geometry.

SG: P4/mbm

Geometry as POSCAR:
```
K2NaS2
1.0
8.735 0.000 0.000
0.000 8.735 0.000
0.000 0.000 3.666
Na K S
2 4 4
direct
0.000 0.000 0.000
0.500 0.500 0.000
0.125 0.625 0.500
0.625 0.875 0.500
0.875 0.375 0.500
0.375 0.125 0.500
0.323 0.823 0.000
0.823 0.677 0.000
0.677 0.177 0.000
0.177 0.323 0.000
```



no.,M_tot (μB per cell),E_tot (eV/atom),uncorrected formation energy (kJ/mol of atoms)
1,0.000,-3.1780,-99.73
2,0.000,-3.2032,-95.03
3,0.000,-3.0817,-70.23